Material: TlAsPt
Method: DFT, PBEsol
State: optimized geometry

Final energy: -14.74 eV/cell
Total moment: 0.0 μB per cell
Space-group type: F-43m, No. 216

Cell lengths 4.4794, 4.4794, 4.4794 Å; angles 60.00, 60.00, 60.00 degrees
Fractional coordinates of all 3 atoms:
1 Tl 0.0000 0.0000 0.0000
2 As 0.5000 0.5000 0.5000
3 Pt 0.2500 0.2500 0.2500

Material: TlAs2Pt
Method: DFT, PBEsol
State: optimized geometry

Final energy: -18.59 eV/cell
Total moment: 0.0 μB per cell
Space-group type: P4/mmm, No. 123

Cell lengths 4.0743, 4.0743, 4.6070 Å; angles 90.00, 90.00, 90.00 degrees
Fractional coordinates of all 4 atoms:
1 As 0.0000 0.5000 0.0000
2 Tl 0.0000 0.0000 0.5000
3 Pt 0.5000 0.5000 0.5000
4 As 0.5000 0.0000 0.0000

Material: TlAs2Pt
Method: DFT, PBEsol
State: optimized geometry

Final energy: -18.66 eV/cell
Total moment: 0.0 μB per cell
Space-group type: Cmmm, No. 65

Cell lengths 3.7909, 4.6489, 4.6489 Å; angles 108.43, 90.00, 90.00 degrees
Fractional coordinates of all 4 atoms:
1 Tl 0.5000 0.5000 0.5000
2 As 0.0000 0.0000 0.5000
3 As 0.0000 0.5000 0.0000
4 Pt 0.5000 0.0000 0.0000

Material: TlAsPt
Method: DFT, PBEsol
State: optimized geometry

Final energy: -14.88 eV/cell
Total moment: 0.0 μB per cell
Space-group type: I4mm, No. 107

Cell lengths 3.2485, 3.2485, 6.5031 Å; angles 104.46, 104.46, 90.00 degrees
Fractional coordinates of all 3 atoms:
1 As 0.0464 0.0464 0.0929
2 Pt 0.6346 0.6346 0.2692
3 Tl 0.3190 0.3190 0.6379

Material: TlAs2Pt
Method: DFT, PBEsol
State: optimized geometry

Final energy: -18.49 eV/cell
Total moment: 0.0 μB per cell
Space-group type: F-43m, No. 216

Cell lengths 4.7534, 4.7534, 4.7534 Å; angles 60.00, 60.00, 60.00 degrees
Fractional coordinates of all 4 atoms:
1 Tl 0.7500 0.7500 0.7500
2 Pt 0.5000 0.5000 0.5000
3 As 0.0000 0.0000 0.0000
4 As 0.2500 0.2500 0.2500

Material: TlAsPt2
Method: DFT, PBEsol
State: optimized geometry

Final energy: -22.03 eV/cell
Total moment: 0.0 μB per cell
Space-group type: P4mm, No. 99

Cell lengths 3.5057, 3.5057, 5.8865 Å; angles 90.00, 90.00, 90.00 degrees
Fractional coordinates of all 4 atoms:
1 Tl 0.0000 0.0000 0.4681
2 Pt 0.0000 0.0000 0.9633
3 As 0.5000 0.5000 0.8286
4 Pt 0.5000 0.5000 0.2400

Material: AsPt2W
Method: DFT, PBEsol
State: optimized geometry

Final energy: -32.64 eV/cell
Total moment: 0.0 μB per cell
Space-group type: Imm2, No. 44

Cell lengths 2.7257, 4.4177, 6.1717 Å; angles 110.97, 102.76, 90.00 degrees
Fractional coordinates of all 4 atoms:
1 As 0.1959 0.6959 0.3917
2 W 0.4781 0.4781 0.9563
3 Pt 0.7802 0.2802 0.5604
4 Pt 0.0458 0.0458 0.0916

Material: AsPt2W
Method: DFT, PBEsol
State: optimized geometry

Final energy: -32.51 eV/cell
Total moment: 0.0 μB per cell
Space-group type: F-43m, No. 216

Cell lengths 4.4230, 4.4230, 4.4230 Å; angles 60.00, 60.00, 60.00 degrees
Fractional coordinates of all 4 atoms:
1 W 0.5000 0.5000 0.5000
2 As 0.2500 0.2500 0.2500
3 Pt 0.7500 0.7500 0.7500
4 Pt 0.0000 0.0000 0.0000